VASP calculation (PBE+U) on a geometry-optimized TlP2WO8 structure.

Cell: 5.0438 5.0438 9.2517 Å, 74.18 74.18 60.00°
Site moments in Bohr magnetons follow the coordinates.
Atoms (fractional coordinates):
O 0.7906 0.7906 0.6281  -0.01
O 0.9604 0.3974 0.8666  -0.03
O 0.6026 0.2244 0.1334  -0.03
O 0.3974 0.7756 0.8666  -0.03
P 0.2661 0.2661 0.2016  0.01
O 0.2094 0.2094 0.3719  -0.01
Tl 0.5000 0.5000 0.5000  0.00
P 0.7339 0.7339 0.7984  0.01
O 0.7756 0.9604 0.8666  -0.03
W 0.0000 0.0000 0.0000  1.15
O 0.0396 0.6026 0.1334  -0.03
O 0.2244 0.0396 0.1334  -0.03

Values from the calculation:
Magnetic moment: 1.00 μB per cell
Theoretical density: 5.0 Mg/m³
Calculated volume: 16.12 Å³/atom
SG: R-3
Total energy: -83.79 eV/cell